Record 1
HgTe2W | PBE | relaxed

a = 7.3105 Å, b = 7.3105 Å, c = 7.3105 Å
α = 154.82°, β = 139.84°, γ = 47.99°
Atoms (fractional coordinates):
Hg1 0.0000 0.0000 0.0000
Te1 0.3326 0.8326 0.5000
Te2 0.6674 0.1674 0.5000
W1 0.5000 0.5000 0.0000

Crystal system: orthorhombic

---

Record 2
HgTeW4 | PBE | relaxed

a = 5.4447 Å, b = 5.4447 Å, c = 5.4447 Å
α = 60.00°, β = 60.00°, γ = 60.00°
Atoms (fractional coordinates):
Hg1 0.0000 0.0000 0.0000
Te1 0.7500 0.7500 0.7500
W1 0.3726 0.3726 0.3726
W2 0.3726 0.3726 0.8821
W3 0.3726 0.8821 0.3726
W4 0.8821 0.3726 0.3726

Crystal system: cubic

---

Record 3
HgTe2W | PBE | relaxed

a = 10.2069 Å, b = 10.2069 Å, c = 10.2069 Å
α = 160.77°, β = 160.66°, γ = 27.41°
Atoms (fractional coordinates):
Hg1 0.0000 0.0000 0.0000
Te1 0.3476 0.3476 0.0000
Te2 0.6718 0.1718 0.5000
W1 0.2440 0.7440 0.5000

Crystal system: orthorhombic

---

Record 4
HgTe2W | PBE | relaxed

a = 3.1329 Å, b = 3.1329 Å, c = 10.7451 Å
α = 90.00°, β = 90.00°, γ = 110.79°
Atoms (fractional coordinates):
Hg1 0.0000 0.0000 0.0000
Te1 0.0000 0.0000 0.5962
Te2 0.5000 0.5000 0.2677
W1 0.5000 0.5000 0.7870

Crystal system: orthorhombic

---

Record 5
Hg2TeW | PBE | relaxed

a = 2.8999 Å, b = 3.5408 Å, c = 9.4473 Å
α = 90.00°, β = 90.09°, γ = 90.00°
Atoms (fractional coordinates):
Hg1 0.0000 0.0000 0.0000
Hg2 0.4865 0.5000 0.7443
Te1 0.9888 0.5000 0.3286
W1 0.9857 0.0000 0.5442

Crystal system: monoclinic

---

Record 6
Hg2TeW | PBE | relaxed

a = 3.1281 Å, b = 3.1281 Å, c = 11.1089 Å
α = 90.00°, β = 90.00°, γ = 117.14°
Atoms (fractional coordinates):
Hg1 0.0000 0.0000 0.0000
Hg2 0.5000 0.5000 0.2655
Te1 0.0000 0.0000 0.5891
W1 0.5000 0.5000 0.7820

Crystal system: orthorhombic

---

Record 7
Hg2TeW | PBE | relaxed

a = 5.3785 Å, b = 5.3785 Å, c = 5.3785 Å
α = 131.21°, β = 131.21°, γ = 71.49°
Atoms (fractional coordinates):
Hg1 0.0000 0.0000 0.0000
Hg2 0.7500 0.2500 0.5000
Te1 0.2500 0.7500 0.5000
W1 0.5000 0.5000 0.0000

Crystal system: tetragonal

---

Record 8
HgTe2W | PBE | relaxed

a = 11.6206 Å, b = 11.6206 Å, c = 11.6206 Å
α = 17.37°, β = 17.37°, γ = 17.37°
Atoms (fractional coordinates):
Hg1 0.0000 0.0000 0.0000
Te1 0.1124 0.1124 0.1124
Te2 0.8876 0.8876 0.8876
W1 0.5000 0.5000 0.5000

Crystal system: trigonal

---

Computed DFT total energy, in the same sequence as the records: -18.0, -49.9, -18.6, -17.1, -14.5, -14.3, -13.0, -19.2 eV per cell.
Computed energy relative to the elements, uncorrected, in the same sequence as the records: 385.1, 897.9, 227.2, 621.5, 561.4, 591.8, 932.3, 91.0 meV per atom.